16
Lattice="7.2514 0.0000 0.0000 0.0000 7.2514 0.0000 0.0000 0.0000 7.2514" Properties=species:S:1:pos:R:3 comment="BaZn2Mo | the Alexandria database | PBE-GGA | optimized geometry" delta_e_f_ev_per_fu=2.75 m_tot_mub_per_cell=11.19 dft_energy_ev_per_atom=-3.139 pbc="T T T"
Ba 0.0000 0.0000 0.0000
Ba 0.0000 3.6257 3.6257
Ba 3.6257 0.0000 3.6257
Ba 3.6257 3.6257 0.0000
Zn 1.8129 1.8129 1.8129
Zn 1.8129 1.8129 5.4386
Zn 1.8129 5.4386 1.8129
Zn 1.8129 5.4386 5.4386
Zn 5.4386 1.8129 1.8129
Zn 5.4386 1.8129 5.4386
Zn 5.4386 5.4386 1.8129
Zn 5.4386 5.4386 5.4386
Mo 0.0000 0.0000 3.6257
Mo 0.0000 3.6257 0.0000
Mo 3.6257 0.0000 0.0000
Mo 3.6257 3.6257 3.6257

=====

12
Lattice="4.5079 0.0000 0.0000 -2.2539 3.9039 0.0000 0.0000 0.0000 17.8343" Properties=species:S:1:pos:R:3 comment="BaZn2Mo | the Alexandria database | PBE-GGA | optimized geometry" delta_e_f_ev_per_fu=1.45 m_tot_mub_per_cell=6.54 dft_energy_ev_per_atom=-3.464 pbc="T T T"
Ba 0.0000 0.0000 0.0000
Ba 0.0000 2.6026 11.8895
Ba 2.2539 1.3013 5.9448
Zn 0.0000 0.0000 3.4634
Zn 0.0000 0.0000 14.3709
Zn 0.0000 2.6026 8.4261
Zn 0.0000 2.6026 15.3529
Zn 2.2539 1.3013 2.4814
Zn 2.2539 1.3013 9.4082
Mo 0.0000 0.0000 8.9171
Mo 0.0000 2.6026 2.9724
Mo 2.2539 1.3013 14.8619

=====

8
Lattice="4.8968 0.0000 0.0000 0.0000 4.8968 0.0000 0.0000 0.0000 6.9619" Properties=species:S:1:pos:R:3 comment="BaZnMo2 | the Alexandria database | PBE-GGA | optimized geometry" delta_e_f_ev_per_fu=4.12 m_tot_mub_per_cell=2.66 dft_energy_ev_per_atom=-5.184 pbc="T T T"
Ba 0.0000 0.0000 0.0000
Ba 2.4484 2.4484 3.4810
Zn 0.0000 2.4484 1.7405
Zn 2.4484 0.0000 5.2214
Mo 0.0000 0.0000 3.4810
Mo 0.0000 2.4484 5.2214
Mo 2.4484 0.0000 1.7405
Mo 2.4484 2.4484 0.0000

=====

8
Lattice="8.4525 0.0000 0.0000 0.0000 3.2309 0.0000 -1.0406 0.0000 6.9356" Properties=species:S:1:pos:R:3 comment="BaZnMo2 | the Alexandria database | PBE-GGA | optimized geometry" delta_e_f_ev_per_fu=2.44 m_tot_mub_per_cell=0.00 dft_energy_ev_per_atom=-5.605 pbc="T T T"
Ba 0.0000 0.0000 0.0000
Ba 4.2262 1.6154 0.0000
Zn 1.7669 1.6154 2.3980
Zn 5.9932 0.0000 2.3980
Mo 1.1089 0.0000 4.5037
Mo 3.5499 0.0000 3.5672
Mo 5.3351 1.6154 4.5037
Mo 7.7761 1.6154 3.5672

=====

12
Lattice="4.5718 0.0000 0.0000 -2.2859 3.9593 0.0000 0.0000 0.0000 25.6670" Properties=species:S:1:pos:R:3 comment="Ba2ZnMo | the Alexandria database | PBE-GGA | optimized geometry" delta_e_f_ev_per_fu=1.90 m_tot_mub_per_cell=5.99 dft_energy_ev_per_atom=-3.514 pbc="T T T"
Ba 0.0000 0.0000 0.0000
Ba 0.0000 0.0000 4.4600
Ba 0.0000 2.6395 17.1113
Ba 0.0000 2.6395 21.5714
Ba 2.2859 1.3198 8.5557
Ba 2.2859 1.3198 13.0157
Zn 0.0000 0.0000 19.3452
Zn 0.0000 2.6395 10.7896
Zn 2.2859 1.3198 2.2339
Mo 0.0000 0.0000 10.7856
Mo 0.0000 2.6395 2.2299
Mo 2.2859 1.3198 19.3413

=====

4
Lattice="3.1037 0.0000 0.0000 0.0000 3.7807 0.0000 -0.0098 0.0000 7.3786" Properties=species:S:1:pos:R:3 comment="BaZn2Mo | the Alexandria database | PBE-GGA | optimized geometry" delta_e_f_ev_per_fu=1.37 m_tot_mub_per_cell=0.41 dft_energy_ev_per_atom=-3.482 pbc="T T T"
Ba 0.0000 0.0000 0.0000
Zn 1.5477 1.8904 2.4206
Zn 1.5463 1.8904 4.9580
Mo -0.0049 0.0000 3.6893

=====

8
Lattice="9.2962 0.0000 0.0000 0.0000 3.0856 0.0000 -0.9196 0.0000 6.5078" Properties=species:S:1:pos:R:3 comment="BaZn2Mo | the Alexandria database | PBE-GGA | optimized geometry" delta_e_f_ev_per_fu=2.25 m_tot_mub_per_cell=0.00 dft_energy_ev_per_atom=-3.262 pbc="T T T"
Ba 0.0000 0.0000 0.0000
Ba 4.6481 1.5428 0.0000
Zn 2.0879 1.5428 2.1763
Zn 4.0265 0.0000 3.5134
Zn 6.7359 0.0000 2.1763
Zn 8.6746 1.5428 3.5134
Mo 1.4881 0.0000 4.2074
Mo 6.1362 1.5428 4.2074

=====

16
Lattice="8.9159 0.0000 0.0000 0.0000 8.9159 0.0000 0.0000 0.0000 6.5941" Properties=species:S:1:pos:R:3 comment="Ba2ZnMo | the Alexandria database | PBE-GGA | optimized geometry" delta_e_f_ev_per_fu=3.89 m_tot_mub_per_cell=9.48 dft_energy_ev_per_atom=-3.015 pbc="T T T"
Ba 2.1308 2.2290 0.8243
Ba 2.2290 6.5887 2.4728
Ba 2.2290 6.7851 5.7699
Ba 2.3271 2.2290 4.1213
Ba 6.5887 6.6869 4.1213
Ba 6.6869 2.1308 5.7699
Ba 6.6869 2.3271 2.4728
Ba 6.7851 6.6869 0.8243
Zn 0.0000 0.0000 3.2971
Zn 0.0000 4.4579 4.9456
Zn 4.4579 0.0000 1.6485
Zn 4.4579 4.4579 0.0000
Mo 0.0000 0.0000 0.0000
Mo 0.0000 4.4579 1.6485
Mo 4.4579 0.0000 4.9456
Mo 4.4579 4.4579 3.2971

=====

8
Lattice="5.0343 0.0000 0.0000 0.0000 5.0343 0.0000 0.0000 0.0000 9.8456" Properties=species:S:1:pos:R:3 comment="Ba2ZnMo | the Alexandria database | PBE-GGA | optimized geometry" delta_e_f_ev_per_fu=3.41 m_tot_mub_per_cell=5.80 dft_energy_ev_per_atom=-3.134 pbc="T T T"
Ba 0.0000 0.0000 0.0000
Ba 0.0000 2.5171 2.4614
Ba 2.5171 0.0000 7.3842
Ba 2.5171 2.5171 4.9228
Zn 0.0000 0.0000 4.9228
Zn 2.5171 2.5171 0.0000
Mo 0.0000 2.5171 7.3842
Mo 2.5171 0.0000 2.4614

=====

8
Lattice="5.8423 0.0000 0.0000 0.0000 10.0738 0.0000 0.0000 0.0000 2.8187" Properties=species:S:1:pos:R:3 comment="BaZnMo2 | the Alexandria database | PBE-GGA | optimized geometry" delta_e_f_ev_per_fu=5.03 m_tot_mub_per_cell=0.00 dft_energy_ev_per_atom=-4.956 pbc="T T T"
Ba 0.0000 0.0000 0.0000
Ba 2.9211 5.0369 0.0000
Zn 0.0000 5.0369 0.0000
Zn 2.9211 0.0000 0.0000
Mo 1.4606 2.5185 1.4093
Mo 1.4606 7.5554 1.4093
Mo 4.3817 2.5185 1.4093
Mo 4.3817 7.5554 1.4093

=====

8
Lattice="4.6408 0.0000 0.0000 0.0000 4.9689 0.0000 0.0000 0.0000 12.1713" Properties=species:S:1:pos:R:3 comment="Ba2ZnMo | the Alexandria database | PBE-GGA | optimized geometry" delta_e_f_ev_per_fu=2.26 m_tot_mub_per_cell=4.46 dft_energy_ev_per_atom=-3.424 pbc="T T T"
Ba 0.0000 0.0000 0.0000
Ba 0.0000 2.4845 6.0856
Ba 2.3204 0.0000 3.5156
Ba 2.3204 2.4845 9.6012
Zn 2.3204 0.0000 7.1988
Zn 2.3204 2.4845 1.1131
Mo 0.0000 0.0000 8.3639
Mo 0.0000 2.4845 2.2782

=====

5
Lattice="4.9810 0.0000 0.0000 0.0000 4.9810 0.0000 0.0000 0.0000 4.9810" Properties=species:S:1:pos:R:3 comment="BaZnMo3 | the Alexandria database | PBE-GGA | optimized geometry" delta_e_f_ev_per_fu=15.41 m_tot_mub_per_cell=2.24 dft_energy_ev_per_atom=-4.055 pbc="T T T"
Ba 0.0000 0.0000 0.0000
Zn 2.4905 2.4905 2.4905
Mo 0.0000 0.0000 2.4905
Mo 0.0000 2.4905 0.0000
Mo 2.4905 0.0000 0.0000

=====

4
Lattice="3.3639 0.0000 0.0000 0.0000 4.7730 0.0000 -1.3143 0.0000 6.3971" Properties=species:S:1:pos:R:3 comment="BaZnMo2 | the Alexandria database | PBE-GGA | optimized geometry" delta_e_f_ev_per_fu=2.84 m_tot_mub_per_cell=0.00 dft_energy_ev_per_atom=-5.505 pbc="T T T"
Ba 0.0000 0.0000 0.0000
Zn 1.0248 0.0000 3.1985
Mo 0.1783 2.3865 4.0409
Mo 1.8713 2.3865 2.3561

=====

8
Lattice="8.7202 0.0000 0.0000 0.0000 3.7047 0.0000 -1.4762 0.0000 8.8831" Properties=species:S:1:pos:R:3 comment="Ba2ZnMo | the Alexandria database | PBE-GGA | optimized geometry" delta_e_f_ev_per_fu=3.66 m_tot_mub_per_cell=5.32 dft_energy_ev_per_atom=-3.073 pbc="T T T"
Ba 1.8352 0.0000 2.0639
Ba 1.0488 1.8524 6.8193
Ba 5.4089 0.0000 6.8193
Ba 6.1953 1.8524 2.0639
Zn -0.7381 0.0000 4.4416
Zn 3.6220 1.8524 4.4416
Mo 0.0000 1.8524 0.0000
Mo 4.3601 0.0000 0.0000

=====

5
Lattice="5.9455 0.0000 0.0000 0.0000 5.9455 0.0000 0.0000 0.0000 5.9455" Properties=species:S:1:pos:R:3 comment="BaZn3Mo | the Alexandria database | PBE-GGA | optimized geometry" delta_e_f_ev_per_fu=8.43 m_tot_mub_per_cell=4.60 dft_energy_ev_per_atom=-1.630 pbc="T T T"
Ba 0.0000 0.0000 0.0000
Zn 0.0000 0.0000 2.9728
Zn 0.0000 2.9728 0.0000
Zn 2.9728 0.0000 0.0000
Mo 2.9728 2.9728 2.9728

=====

5
Lattice="5.0348 0.0000 0.0000 0.0000 5.0348 0.0000 0.0000 0.0000 5.0348" Properties=species:S:1:pos:R:3 comment="BaZn3Mo | the Alexandria database | PBE-GGA | optimized geometry" delta_e_f_ev_per_fu=1.44 m_tot_mub_per_cell=0.00 dft_energy_ev_per_atom=-3.027 pbc="T T T"
Ba 0.0000 0.0000 0.0000
Zn 0.0000 2.5174 2.5174
Zn 2.5174 0.0000 2.5174
Zn 2.5174 2.5174 0.0000
Mo 2.5174 2.5174 2.5174

=====

16
Lattice="7.3045 0.0000 0.0000 0.0000 7.3045 0.0000 0.0000 0.0000 7.3045" Properties=species:S:1:pos:R:3 comment="BaZn2Mo | the Alexandria database | PBE-GGA | optimized geometry" delta_e_f_ev_per_fu=3.46 m_tot_mub_per_cell=14.81 dft_energy_ev_per_atom=-2.959 pbc="T T T"
Ba 0.0000 0.0000 0.0000
Ba 0.0000 3.6522 3.6522
Ba 3.6522 0.0000 3.6522
Ba 3.6522 3.6522 0.0000
Zn 0.0000 0.0000 3.6522
Zn 0.0000 3.6522 0.0000
Zn 1.8261 1.8261 5.4784
Zn 1.8261 5.4784 1.8261
Zn 3.6522 0.0000 0.0000
Zn 3.6522 3.6522 3.6522
Zn 5.4784 1.8261 1.8261
Zn 5.4784 5.4784 5.4784
Mo 1.8261 1.8261 1.8261
Mo 1.8261 5.4784 5.4784
Mo 5.4784 1.8261 5.4784
Mo 5.4784 5.4784 1.8261

=====

8
Lattice="3.4086 0.0000 0.0000 0.0000 5.0676 0.0000 0.0000 0.0000 9.8187" Properties=species:S:1:pos:R:3 comment="BaZnMo2 | the Alexandria database | PBE-GGA | optimized geometry" delta_e_f_ev_per_fu=2.69 m_tot_mub_per_cell=0.00 dft_energy_ev_per_atom=-5.543 pbc="T T T"
Ba 0.0000 0.0000 0.0000
Ba 1.7043 2.5338 0.0000
Zn 0.0000 2.5338 2.9059
Zn 1.7043 0.0000 2.9059
Mo 0.0000 0.0000 5.0148
Mo 0.0000 2.5338 6.8546
Mo 1.7043 0.0000 6.8546
Mo 1.7043 2.5338 5.0148

=====

8
Lattice="5.8653 0.0000 0.0000 0.0000 10.3078 0.0000 -1.1119 0.0000 2.6811" Properties=species:S:1:pos:R:3 comment="BaZnMo2 | the Alexandria database | PBE-GGA | optimized geometry" delta_e_f_ev_per_fu=4.51 m_tot_mub_per_cell=0.00 dft_energy_ev_per_atom=-5.087 pbc="T T T"
Ba 0.0000 0.0000 0.0000
Ba 2.9326 5.1539 0.0000
Zn 0.0000 5.1539 0.0000
Zn 2.9326 0.0000 0.0000
Mo 0.9104 2.5770 1.3406
Mo 0.9104 7.7309 1.3406
Mo 3.8430 2.5770 1.3406
Mo 3.8430 7.7309 1.3406

=====

4
Lattice="2.8907 0.0000 0.0000 0.0000 2.8907 0.0000 0.0000 0.0000 9.6982" Properties=species:S:1:pos:R:3 comment="BaZnMo2 | the Alexandria database | PBE-GGA | optimized geometry" delta_e_f_ev_per_fu=3.71 m_tot_mub_per_cell=0.00 dft_energy_ev_per_atom=-5.287 pbc="T T T"
Ba 0.0000 0.0000 0.0000
Zn 0.0000 0.0000 4.8491
Mo 1.4454 1.4454 2.9747
Mo 1.4454 1.4454 6.7235

=====

8
Lattice="9.6185 0.0000 0.0000 0.0000 3.4684 0.0000 -1.3177 0.0000 5.9652" Properties=species:S:1:pos:R:3 comment="BaZnMo2 | the Alexandria database | PBE-GGA | optimized geometry" delta_e_f_ev_per_fu=2.56 m_tot_mub_per_cell=0.00 dft_energy_ev_per_atom=-5.574 pbc="T T T"
Ba 0.0000 0.0000 0.0000
Ba 4.8093 1.7342 0.0000
Zn -0.6588 1.7342 2.9826
Zn 4.1504 0.0000 2.9826
Mo 1.2735 0.0000 3.6648
Mo 2.2181 1.7342 2.3004
Mo 6.0827 1.7342 3.6648
Mo 7.0274 0.0000 2.3004

=====

3
Lattice="5.1307 0.0000 0.0000 -2.5653 4.4433 0.0000 0.0000 0.0000 3.1060" Properties=species:S:1:pos:R:3 comment="BaZnMo | the Alexandria database | PBE-GGA | optimized geometry" delta_e_f_ev_per_fu=2.87 m_tot_mub_per_cell=0.01 dft_energy_ev_per_atom=-3.720 pbc="T T T"
Ba 0.0000 0.0000 0.0000
Zn 0.0000 2.9622 1.5530
Mo 2.5654 1.4811 1.5530

=====

12
Lattice="7.5846 0.0000 0.0000 0.0000 7.5846 0.0000 0.0000 0.0000 7.5846" Properties=species:S:1:pos:R:3 comment="BaZnMo | the Alexandria database | PBE-GGA | optimized geometry" delta_e_f_ev_per_fu=4.80 m_tot_mub_per_cell=16.37 dft_energy_ev_per_atom=-3.078 pbc="T T T"
Ba 0.0000 0.0000 0.0000
Ba 0.0000 3.7923 3.7923
Ba 3.7923 0.0000 3.7923
Ba 3.7923 3.7923 0.0000
Zn 1.8962 1.8962 1.8962
Zn 1.8962 5.6885 5.6885
Zn 5.6885 1.8962 5.6885
Zn 5.6885 5.6885 1.8962
Mo 1.8962 1.8962 5.6885
Mo 1.8962 5.6885 1.8962
Mo 5.6885 1.8962 1.8962
Mo 5.6885 5.6885 5.6885

=====

5
Lattice="5.0417 0.0000 0.0000 0.0000 5.0417 0.0000 0.0000 0.0000 5.4382" Properties=species:S:1:pos:R:3 comment="BaZrZnMo2 | the Alexandria database | PBE-GGA | optimized geometry" delta_e_f_ev_per_fu=5.92 m_tot_mub_per_cell=3.69 dft_energy_ev_per_atom=-5.497 pbc="T T T"
Ba 0.0000 0.0000 0.0000
Zr 2.5208 2.5208 2.7191
Zn 2.5208 2.5208 0.0000
Mo 0.0000 2.5208 2.7191
Mo 2.5208 0.0000 2.7191

=====

5
Lattice="6.1751 0.0000 0.0000 0.0000 6.1751 0.0000 0.0000 0.0000 5.2183" Properties=species:S:1:pos:R:3 comment="Ba2ZrZnMo | the Alexandria database | PBE-GGA | optimized geometry" delta_e_f_ev_per_fu=6.27 m_tot_mub_per_cell=6.04 dft_energy_ev_per_atom=-3.645 pbc="T T T"
Ba 0.0000 3.0875 0.0000
Ba 3.0875 0.0000 0.0000
Zr 0.0000 0.0000 2.6091
Zn 0.0000 0.0000 0.0000
Mo 3.0875 3.0875 2.6091

=====

8
Lattice="3.3544 0.0000 0.0000 0.0000 5.2190 0.0000 0.0000 0.0000 9.6550" Properties=species:S:1:pos:R:3 comment="BaZrMo2 | the Alexandria database | PBE-GGA | optimized geometry" delta_e_f_ev_per_fu=4.40 m_tot_mub_per_cell=0.00 dft_energy_ev_per_atom=-6.933 pbc="T T T"
Ba 0.0000 0.0000 0.0000
Ba 1.6772 2.6095 4.8275
Zr 0.0000 0.0000 4.8275
Zr 1.6772 2.6095 0.0000
Mo 0.0000 2.6095 2.3475
Mo 0.0000 2.6095 7.3075
Mo 1.6772 0.0000 2.4800
Mo 1.6772 0.0000 7.1750

=====

5
Lattice="5.9539 0.0000 0.0000 0.0000 5.9539 0.0000 0.0000 0.0000 5.9539" Properties=species:S:1:pos:R:3 comment="Ba3ZrMo | the Alexandria database | PBE-GGA | optimized geometry" delta_e_f_ev_per_fu=6.37 m_tot_mub_per_cell=3.12 dft_energy_ev_per_atom=-3.755 pbc="T T T"
Ba 0.0000 0.0000 2.9769
Ba 0.0000 2.9769 0.0000
Ba 2.9769 0.0000 0.0000
Zr 2.9769 2.9769 2.9769
Mo 0.0000 0.0000 0.0000

=====

16
Lattice="7.0274 0.0000 0.0000 0.0000 7.0274 0.0000 0.0000 0.0000 7.0274" Properties=species:S:1:pos:R:3 comment="BaZrMo2 | the Alexandria database | PBE-GGA | optimized geometry" delta_e_f_ev_per_fu=4.50 m_tot_mub_per_cell=0.00 dft_energy_ev_per_atom=-6.907 pbc="T T T"
Ba 0.0000 0.0000 0.0000
Ba 0.0000 3.5137 3.5137
Ba 3.5137 0.0000 3.5137
Ba 3.5137 3.5137 0.0000
Zr 0.0000 0.0000 3.5137
Zr 0.0000 3.5137 0.0000
Zr 3.5137 0.0000 0.0000
Zr 3.5137 3.5137 3.5137
Mo 1.7569 1.7569 1.7569
Mo 1.7569 1.7569 5.2706
Mo 1.7569 5.2706 1.7569
Mo 1.7569 5.2706 5.2706
Mo 5.2706 1.7569 1.7569
Mo 5.2706 1.7569 5.2706
Mo 5.2706 5.2706 1.7569
Mo 5.2706 5.2706 5.2706

=====

5
Lattice="5.2626 0.0000 0.0000 0.0000 5.2626 0.0000 0.0000 0.0000 5.2626" Properties=species:S:1:pos:R:3 comment="BaZr3Mo | the Alexandria database | PBE-GGA | optimized geometry" delta_e_f_ev_per_fu=2.84 m_tot_mub_per_cell=0.00 dft_energy_ev_per_atom=-7.112 pbc="T T T"
Ba 0.0000 0.0000 0.0000
Zr 0.0000 2.6313 2.6313
Zr 2.6313 0.0000 2.6313
Zr 2.6313 2.6313 0.0000
Mo 2.6313 2.6313 2.6313

=====

8
Lattice="4.1395 0.0000 0.0000 0.0000 4.1395 0.0000 0.0000 0.0000 10.0058" Properties=species:S:1:pos:R:3 comment="BaZrMo2 | the Alexandria database | PBE-GGA | optimized geometry" delta_e_f_ev_per_fu=4.94 m_tot_mub_per_cell=0.00 dft_energy_ev_per_atom=-6.797 pbc="T T T"
Ba 0.0000 0.0000 0.0000
Ba 2.0698 2.0698 5.0029
Zr 0.0000 2.0698 2.5015
Zr 2.0698 0.0000 7.5044
Mo 0.0000 0.0000 5.0029
Mo 0.0000 2.0698 7.5044
Mo 2.0698 0.0000 2.5015
Mo 2.0698 2.0698 0.0000